! Ta5BP3 (PBE, relaxed); values from VASP
! M_tot: 0.00 μB per formula unit
! final energy: -9.758 eV/atom
! SG: P6_3/mcm (193)
&SYSTEM
  ibrav = 0, nat = 18, ntyp = 3
/
ATOMIC_SPECIES
B 10.81 B.upf
P 30.97 P.upf
Ta 180.95 Ta.upf
CELL_PARAMETERS angstrom
-4.965 -3.938 3.625
4.676 -3.300 -4.531
3.639 -0.677 4.248
ATOMIC_POSITIONS crystal
B 0.000 0.000 0.000
B 0.000 0.000 0.500
P 0.599 0.000 0.250
P 0.401 0.401 0.250
P 0.000 0.599 0.250
P 0.401 0.000 0.750
P 0.000 0.401 0.750
P 0.599 0.599 0.750
Ta 0.667 0.333 0.000
Ta 0.333 0.667 0.000
Ta 0.241 0.000 0.250
Ta 0.000 0.241 0.250
Ta 0.759 0.759 0.250
Ta 0.667 0.333 0.500
Ta 0.333 0.667 0.500
Ta 0.759 0.000 0.750
Ta 0.241 0.241 0.750
Ta 0.000 0.759 0.750

***

! TmB2P2 (PBE, relaxed); values from VASP
! M_tot: 0.00 μB per formula unit
! final energy: -5.697 eV/atom
! SG: Imma (74)
&SYSTEM
  ibrav = 0, nat = 10, ntyp = 3
/
ATOMIC_SPECIES
B 10.81 B.upf
P 30.97 P.upf
Tm 168.93 Tm.upf
CELL_PARAMETERS angstrom
-1.849 1.972 9.329
1.849 -1.972 9.329
1.849 1.972 -9.329
ATOMIC_POSITIONS crystal
B 0.746 0.496 0.250
B 0.211 0.961 0.250
B 0.789 0.039 0.750
B 0.254 0.504 0.750
P 0.317 0.067 0.250
P 0.442 0.192 0.250
P 0.558 0.808 0.750
P 0.683 0.933 0.750
Tm 0.885 0.635 0.250
Tm 0.115 0.365 0.750

***

! B3PW4 (PBE, relaxed); values from VASP
! M_tot: 0.00 μB per formula unit
! final energy: -9.857 eV/atom
! SG: P6_3/mmc (194)
&SYSTEM
  ibrav = 0, nat = 16, ntyp = 3
/
ATOMIC_SPECIES
B 10.81 B.upf
P 30.97 P.upf
W 183.84 W.upf
CELL_PARAMETERS angstrom
-2.289 -1.926 -1.122
3.038 -0.988 0.047
-2.974 -8.186 20.111
ATOMIC_POSITIONS crystal
B 0.000 0.000 0.000
B 0.667 0.333 0.117
B 0.667 0.333 0.383
B 0.000 0.000 0.500
B 0.333 0.667 0.617
B 0.333 0.667 0.883
P 0.333 0.667 0.250
P 0.667 0.333 0.750
W 0.333 0.667 0.061
W 0.000 0.000 0.172
W 0.000 0.000 0.328
W 0.333 0.667 0.439
W 0.667 0.333 0.561
W 0.000 0.000 0.672
W 0.000 0.000 0.828
W 0.667 0.333 0.939

***

! B2PW3 (PBE, relaxed); values from VASP
! M_tot: 0.00 μB per formula unit
! final energy: -9.814 eV/atom
! SG: P6_3/mmc (194)
&SYSTEM
  ibrav = 0, nat = 12, ntyp = 3
/
ATOMIC_SPECIES
B 10.81 B.upf
P 30.97 P.upf
W 183.84 W.upf
CELL_PARAMETERS angstrom
3.203 0.000 0.000
-1.601 2.774 0.000
0.000 0.000 16.693
ATOMIC_POSITIONS crystal
B 0.333 0.667 0.077
B 0.333 0.667 0.423
B 0.667 0.333 0.577
B 0.667 0.333 0.923
P 0.000 0.000 0.250
P 0.000 0.000 0.750
W 0.000 0.000 0.000
W 0.667 0.333 0.150
W 0.667 0.333 0.350
W 0.000 0.000 0.500
W 0.333 0.667 0.650
W 0.333 0.667 0.850

***

! Zr3B2P (PBE, relaxed); values from VASP
! M_tot: 0.02 μB per formula unit
! final energy: -8.157 eV/atom
! SG: P6_3/mmc (194)
&SYSTEM
  ibrav = 0, nat = 12, ntyp = 3
/
ATOMIC_SPECIES
B 10.81 B.upf
P 30.97 P.upf
Zr 91.22 Zr.upf
CELL_PARAMETERS angstrom
-0.345 -3.071 -1.641
1.850 0.203 2.963
-15.083 -3.464 9.654
ATOMIC_POSITIONS crystal
B 0.333 0.667 0.079
B 0.333 0.667 0.421
B 0.667 0.333 0.579
B 0.667 0.333 0.921
P 0.000 0.000 0.250
P 0.000 0.000 0.750
Zr 0.000 0.000 0.000
Zr 0.667 0.333 0.153
Zr 0.667 0.333 0.347
Zr 0.000 0.000 0.500
Zr 0.333 0.667 0.653
Zr 0.333 0.667 0.847

***

! Zr3B4P (PBE, relaxed); values from VASP
! M_tot: 0.00 μB per formula unit
! final energy: -8.027 eV/atom
! SG: Pmmm (47)
&SYSTEM
  ibrav = 0, nat = 8, ntyp = 3
/
ATOMIC_SPECIES
B 10.81 B.upf
P 30.97 P.upf
Zr 91.22 Zr.upf
CELL_PARAMETERS angstrom
-0.137 3.154 -0.568
-3.133 -0.408 -1.507
-3.839 1.211 7.652
ATOMIC_POSITIONS crystal
B 0.000 0.000 0.294
B 0.500 0.000 0.388
B 0.500 0.000 0.612
B 0.000 0.000 0.706
P 0.000 0.000 0.000
Zr 0.500 0.500 0.178
Zr 0.000 0.500 0.500
Zr 0.500 0.500 0.822

***

! Zr4B3P (PBE, relaxed); values from VASP
! M_tot: 0.02 μB per formula unit
! final energy: -8.106 eV/atom
! SG: P6_3/mmc (194)
&SYSTEM
  ibrav = 0, nat = 16, ntyp = 3
/
ATOMIC_SPECIES
B 10.81 B.upf
P 30.97 P.upf
Zr 91.22 Zr.upf
CELL_PARAMETERS angstrom
-1.176 -2.141 2.478
-0.036 -1.007 -3.330
22.082 -9.186 2.538
ATOMIC_POSITIONS crystal
B 0.000 0.000 0.000
B 0.667 0.333 0.120
B 0.667 0.333 0.380
B 0.000 0.000 0.500
B 0.333 0.667 0.620
B 0.333 0.667 0.880
P 0.333 0.667 0.250
P 0.667 0.333 0.750
Zr 0.333 0.667 0.059
Zr 0.000 0.000 0.176
Zr 0.000 0.000 0.324
Zr 0.333 0.667 0.441
Zr 0.667 0.333 0.559
Zr 0.000 0.000 0.676
Zr 0.000 0.000 0.824
Zr 0.667 0.333 0.941

***

! Zr2B2P (PBE, relaxed); values from VASP
! M_tot: 0.00 μB per formula unit
! final energy: -7.957 eV/atom
! SG: Cmmm (65)
&SYSTEM
  ibrav = 0, nat = 5, ntyp = 3
/
ATOMIC_SPECIES
B 10.81 B.upf
P 30.97 P.upf
Zr 91.22 Zr.upf
CELL_PARAMETERS angstrom
1.606 -6.085 0.000
1.606 6.085 0.000
0.000 0.000 3.429
ATOMIC_POSITIONS crystal
B 0.775 0.225 0.000
B 0.225 0.775 0.000
P 0.000 0.000 0.000
Zr 0.632 0.368 0.500
Zr 0.368 0.632 0.500